(1)
# PBE Pr5Mg, relaxed
# **Theoretical density**: 5.34 g/cm3
data_Pr5Mg
_chemical_formula_sum 'Pr5 Mg1'
_space_group_name_H-M_alt 'P 6/m m m'
_space_group_IT_number 191
_space_group_name_Hall '-P 6 2'
_cell_length_a 6.6600
_cell_length_b 6.6600
_cell_length_c 5.8982
_cell_angle_alpha 90.00
_cell_angle_beta 90.00
_cell_angle_gamma 120.00
loop_
_atom_site_label
_atom_site_fract_x
_atom_site_fract_y
_atom_site_fract_z
_atom_site_occupancy
Pr1 0.0000 0.5000 0.0000 1
Pr2 0.3333 0.6667 0.5000 1
Mg1 0.0000 0.0000 0.5000 1



(2)
# PBE Pr3MgPt8, relaxed
# **Theoretical density**: 14.35 g/cm3
data_Pr3MgPt8
_chemical_formula_sum 'Pr9 Mg3 Pt24'
_space_group_name_H-M_alt 'R 3 m'
_space_group_IT_number 160
_space_group_name_Hall 'R 3 -2"'
_cell_length_a 5.4771
_cell_length_b 5.4771
_cell_length_c 26.8220
_cell_angle_alpha 90.00
_cell_angle_beta 90.00
_cell_angle_gamma 120.00
loop_
_atom_site_label
_atom_site_fract_x
_atom_site_fract_y
_atom_site_fract_z
_atom_site_occupancy
Pr1 0.0000 0.0000 0.0000 1
Pr2 0.0000 0.0000 0.1279 1
Pr3 0.0000 0.0000 0.5116 1
Mg1 0.0000 0.0000 0.6358 1
Pt1 0.0000 0.0000 0.3165 1
Pt2 0.0000 0.0000 0.8170 1
Pt3 0.1672 0.3344 0.3998 1
Pt4 0.1676 0.3351 0.9008 1



Number 1: calculated volume 37.76 Å³ per atom, electronic total energy -3.82 eV/atom, M_tot 0.84 μB/f.u.. Number 2: calculated volume 19.36 Å³ per atom, electronic total energy -6.32 eV/atom, M_tot 0.01 μB/f.u..